This record from Alexandria describes crystalline Ba2TlRe at its relaxed geometry. The functional is PBE.

```
Ba2TlRe
1.0
4.445 0.001 0.002
3.068 3.217 0.002
1.079 0.462 9.883
Tl Re Ba
1 1 2
Direct
0.250 0.250 0.250 Tl
0.750 0.750 0.750 Re
0.491 0.491 0.540 Ba
0.009 0.009 0.960 Ba
```

Summary:
SG: C2/m (12)
Offset from the most stable computed form: 277 meV/atom
DFT formation energy: 0.90 eV per atom